# Pa4F | Alexandria via LeMat-Bulk | PBE-GGA | relaxed
# ΔE_f (raw) ... -488 meV/atom
# DFT total energy ... -0.3109 hartree per atom
# Total magnetic moment ... 0.00 Bohr magnetons per cell
data_Pa4F
_chemical_formula_sum 'Pa4 F1'
_space_group_name_H-M_alt 'P m -3 m'
_space_group_IT_number 221
_space_group_name_Hall '-P 4 2 3'
_cell_length_a 4.869
_cell_length_b 4.869
_cell_length_c 4.869
_cell_angle_alpha 90.00
_cell_angle_beta 90.00
_cell_angle_gamma 90.00
loop_
_atom_site_label
_atom_site_fract_x
_atom_site_fract_y
_atom_site_fract_z
Pa1 0.000 0.000 0.000
Pa2 0.000 0.500 0.500
F1 0.500 0.500 0.500

# NaLiCa3 | Alexandria via LeMat-Bulk | PBE-GGA | relaxed
# DFT total energy ... -0.0658 hartree per atom
# Total magnetic moment ... 0.00 Bohr magnetons per cell
data_NaLiCa3
_chemical_formula_sum 'Na2 Li2 Ca6'
_space_group_name_H-M_alt 'P 1 21/m 1'
_space_group_IT_number 11
_cell_length_a 9.659
_cell_length_b 4.029
_cell_length_c 9.811
_cell_angle_alpha 90.00
_cell_angle_beta 101.55
_cell_angle_gamma 90.00
loop_
_space_group_symop_operation_xyz
'x,y,z'
'-x,-y,-z'
'-x,y+1/2,-z'
'x,-y+1/2,z'
loop_
_atom_site_label
_atom_site_fract_x
_atom_site_fract_y
_atom_site_fract_z
Na1 0.019 0.250 0.174
Li1 0.403 0.750 0.742
Ca1 0.159 0.250 0.588
Ca2 0.324 0.250 0.990
Ca3 0.364 0.750 0.355

# LaPuOs | Alexandria via LeMat-Bulk | PBE-GGA | relaxed
# DFT total energy ... -0.3719 hartree per atom
# Total magnetic moment ... 1.35 Bohr magnetons per cell
data_LaPuOs
_chemical_formula_sum 'La2 Pu2 Os2'
_space_group_name_H-M_alt 'P m m 2'
_space_group_IT_number 25
_cell_length_a 4.217
_cell_length_b 5.810
_cell_length_c 6.400
_cell_angle_alpha 90.00
_cell_angle_beta 90.00
_cell_angle_gamma 90.00
loop_
_space_group_symop_operation_xyz
'x,y,z'
'-x,-y,z'
'-x,y,z'
'x,-y,z'
loop_
_atom_site_label
_atom_site_fract_x
_atom_site_fract_y
_atom_site_fract_z
La1 0.000 0.000 0.000
La2 0.500 0.500 0.248
Pu1 0.000 0.000 0.458
Pu2 0.000 0.500 0.748
Os1 0.500 0.237 0.691

# PWCS2 | Alexandria via LeMat-Bulk | PBE-GGA | relaxed
# ΔE_f (raw) ... 1310 meV/atom
# DFT total energy ... -0.2153 hartree per atom
# Total magnetic moment ... 0.85 Bohr magnetons per cell
data_PWCS2
_chemical_formula_sum 'P1 W1 C1 S2'
_space_group_name_H-M_alt 'P 4/m m m'
_space_group_IT_number 123
_space_group_name_Hall '-P 4 2'
_cell_length_a 3.999
_cell_length_b 3.999
_cell_length_c 3.995
_cell_angle_alpha 90.00
_cell_angle_beta 90.00
_cell_angle_gamma 90.00
loop_
_atom_site_label
_atom_site_fract_x
_atom_site_fract_y
_atom_site_fract_z
P1 0.000 0.000 0.000
W1 0.500 0.500 0.000
C1 0.000 0.000 0.500
S1 0.000 0.500 0.500

# AlNiRu | Alexandria via LeMat-Bulk | PBE-GGA | relaxed
# DFT total energy ... -0.2413 hartree per atom
# Total magnetic moment ... 0.00 Bohr magnetons per cell
data_AlNiRu
_chemical_formula_sum 'Al2 Ni2 Ru2'
_space_group_name_H-M_alt 'I 4 m m'
_space_group_IT_number 107
_space_group_name_Hall 'I 4 -2'
_cell_length_a 2.906
_cell_length_b 2.906
_cell_length_c 9.091
_cell_angle_alpha 90.00
_cell_angle_beta 90.00
_cell_angle_gamma 90.00
loop_
_atom_site_label
_atom_site_fract_x
_atom_site_fract_y
_atom_site_fract_z
Al1 0.000 0.000 0.000
Ni1 0.000 0.000 0.348
Ru1 0.000 0.000 0.671

# KIn2SiTc | Alexandria via LeMat-Bulk | PBE-GGA | relaxed
# ΔE_f (raw) ... -37 meV/atom
# DFT total energy ... -0.1657 hartree per atom
# Total magnetic moment ... 0.00 Bohr magnetons per cell
data_KIn2SiTc
_chemical_formula_sum 'K1 In2 Si1 Tc1'
_space_group_name_H-M_alt 'P 4/m m m'
_space_group_IT_number 123
_space_group_name_Hall '-P 4 2'
_cell_length_a 5.278
_cell_length_b 5.278
_cell_length_c 4.723
_cell_angle_alpha 90.00
_cell_angle_beta 90.00
_cell_angle_gamma 90.00
loop_
_atom_site_label
_atom_site_fract_x
_atom_site_fract_y
_atom_site_fract_z
K1 0.000 0.000 0.000
In1 0.000 0.500 0.500
Si1 0.500 0.500 0.000
Tc1 0.500 0.500 0.500